No. 1
This record from Alexandria via LeMat-Bulk describes a geometry-optimized LiOsPbO6 structure. The functional is PBE-GGA.

The total energy comes out at -0.4591 Ry per atom. The uncorrected formation energy comes out at -1.0684 eV/atom. The crystal system is trigonal. As for the total magnetization: 0.00 μB/cell.

It has space group P312 (No. 149), with a = 5.1706 Å, b = 5.1706 Å, c = 4.7695 Å, α = 90.00°, β = 90.00° and γ = 120.00°. Symmetry generates all atoms from Li at (0.0000, 0.0000, 0.0000), Os at (0.3333, 0.6667, 0.0000), Pb at (0.6667, 0.3333, 0.5000) and O at (0.0437, 0.3574, 0.2239).


No. 2
This record from Alexandria via LeMat-Bulk describes a geometry-optimized Hf6TcBi structure. The functional is PBE-GGA.

The total energy comes out at -0.6551 Ry per atom. Its energy of formation from the pure elements is 333 meV/atom. The crystal system is monoclinic. As for the total magnetization: 0.00 μB/cell.

It has space group C2/m (No. 12), with a = 6.125 Å, b = 10.907 Å, c = 6.220 Å, α = 90.00°, β = 117.37° and γ = 90.00°. Symmetry generates all atoms from Hf at (0.011, 0.218, 0.268), Hf at (0.028, 0.500, 0.267), Tc at (0.000, 0.000, 0.500) and Bi at (0.000, 0.000, 0.000).


No. 3
This record from Alexandria via LeMat-Bulk describes a geometry-optimized RbNpInCl6 structure. The functional is PBE-GGA.

The total energy comes out at -0.3422 Ry per atom. The uncorrected formation energy comes out at -1.5756 eV/atom. The crystal system is tetragonal. As for the total magnetization: 6.00 μB/cell.

It has space group P4_2nm (No. 102), with a = 7.102 Å, b = 7.102 Å, c = 13.720 Å, α = 90.00°, β = 90.00° and γ = 90.00°. Symmetry generates all atoms from Rb at (0.000, 0.000, 0.000), Np at (0.000, 0.000, 0.663), In at (0.000, 0.000, 0.332), Cl at (0.174, 0.174, 0.519), Cl at (0.185, 0.185, 0.798) and Cl at (0.240, 0.240, 0.167).


No. 4
This record from Alexandria via LeMat-Bulk describes a geometry-optimized Cs2CuPI6 structure. The functional is PBE-GGA.

The total energy comes out at -0.1955 Ry per atom. The uncorrected formation energy comes out at -0.6080 eV/atom. The crystal system is tetragonal. As for the total magnetization: 0.00 μB/cell.

It has space group I4/mmm (No. 139), with a = 8.092 Å, b = 8.092 Å, c = 11.500 Å, α = 90.00°, β = 90.00° and γ = 90.00°. Symmetry generates all atoms from Cs at (0.000, 0.500, 0.250), Cu at (0.000, 0.000, 0.000), P at (0.000, 0.000, 0.500), I at (0.000, 0.000, 0.252) and I at (0.249, 0.249, 0.500).


No. 5
This record from Alexandria via LeMat-Bulk describes a geometry-optimized MgSb4W structure. The functional is PBE-GGA.

The total energy comes out at -0.3024 Ry per atom. The uncorrected formation energy comes out at 1.0588 eV/atom. The crystal system is cubic. As for the total magnetization: 12.84 μB/cell.

It has space group F-43m (No. 216), with a = 8.636 Å, b = 8.636 Å, c = 8.636 Å, α = 90.00°, β = 90.00° and γ = 90.00°. Symmetry generates all atoms from Mg at (0.000, 0.000, 0.000), Sb at (0.125, 0.125, 0.625) and W at (0.250, 0.250, 0.250).


No. 6
This record from Alexandria via LeMat-Bulk describes a geometry-optimized Pa2BeZnIr2 structure. The functional is PBE-GGA.

The total energy comes out at -0.5538 Ry per atom. Its energy of formation from the pure elements is -583 meV/atom. The crystal system is orthorhombic. As for the total magnetization: 0.00 μB/cell.

It has space group Ibam (No. 72), with a = 5.270 Å, b = 13.941 Å, c = 6.088 Å, α = 90.00°, β = 90.00° and γ = 90.00°. Symmetry generates all atoms from Pa at (0.248, 0.163, 0.000), Be at (0.000, 0.500, 0.250), Zn at (0.000, 0.000, 0.250) and Ir at (0.238, 0.374, 0.000).


No. 7
This record from Alexandria via LeMat-Bulk describes a geometry-optimized BaSrDyNbO6 structure. The functional is PBE-GGA.

The total energy comes out at -0.5767 Ry per atom. The uncorrected formation energy comes out at -3.0435 eV/atom. The crystal system is triclinic. As for the total magnetization: 0.00 μB/cell.

It has space group P-1 (No. 2), with a = 5.977 Å, b = 5.984 Å, c = 8.448 Å, α = 89.78°, β = 89.84° and γ = 89.73°. Symmetry generates all atoms from Ba at (0.005, 0.014, 0.250), Sr at (0.499, 0.521, 0.249), Dy at (0.000, 0.500, 0.000), Dy at (0.500, 0.000, 0.500), Nb at (0.000, 0.500, 0.500), Nb at (0.500, 0.000, 0.000), O at (0.068, 0.483, 0.736), O at (0.212, 0.761, 0.480), O at (0.236, 0.791, 0.015), O at (0.263, 0.292, 0.456), O at (0.297, 0.269, 0.043) and O at (0.450, 0.042, 0.764).


No. 8
This record from Alexandria via LeMat-Bulk describes a geometry-optimized TaZnIr structure. The functional is PBE-GGA.

The total energy comes out at -0.5640 Ry per atom. Its energy of formation from the pure elements is -344 meV/atom. The crystal system is hexagonal. As for the total magnetization: 0.00 μB/cell.

It has space group P-6m2 (No. 187), with a = 4.3625 Å, b = 4.3625 Å, c = 2.8186 Å, α = 90.00°, β = 90.00° and γ = 120.00°. Symmetry generates all atoms from Ta at (0.0000, 0.0000, 0.0000), Zn at (0.6667, 0.3333, 0.5000) and Ir at (0.3333, 0.6667, 0.5000).


No. 9
This record from Alexandria via LeMat-Bulk describes a geometry-optimized TcRu2Cl structure. The functional is PBE-GGA.

As for the offset from the most stable computed form: 246 kJ/mol of formula units. The total energy comes out at -0.4945 Ry per atom. The uncorrected formation energy comes out at 0.9626 eV/atom. The crystal system is cubic. As for the total magnetization: 0.00 μB/cell.

It has space group Fm-3m (No. 225), with a = 6.190 Å, b = 6.190 Å, c = 6.190 Å, α = 90.00°, β = 90.00° and γ = 90.00°. Symmetry generates all atoms from Tc at (0.000, 0.000, 0.000), Ru at (0.250, 0.250, 0.250) and Cl at (0.000, 0.000, 0.500).


No. 10
This record from Alexandria via LeMat-Bulk describes a geometry-optimized AlNiN2 structure. The functional is PBE-GGA.

The total energy comes out at -0.4760 Ry per atom. The uncorrected formation energy comes out at 0.0670 eV/atom. The crystal system is trigonal. As for the total magnetization: 0.00 μB/cell.

It has space group R-3m (No. 166, hexagonal axes), with a = 2.9091 Å, b = 2.9091 Å, c = 17.0449 Å, α = 90.00°, β = 90.00° and γ = 120.00°. Symmetry generates all atoms from Al at (0.0000, 0.0000, 0.0000), Ni at (0.0000, 0.0000, 0.5000) and N at (0.0000, 0.0000, 0.3972).


No. 11
This record from Alexandria via LeMat-Bulk describes a geometry-optimized Nd2Dy4Tm7 structure. The functional is PBE-GGA.

The total energy comes out at -0.3235 Ry per atom. Its energy of formation from the pure elements is 155 meV/atom. The crystal system is triclinic. As for the total magnetization: 0.00 μB/cell.

It has space group P-1 (No. 2), with a = 6.295 Å, b = 6.440 Å, c = 11.709 Å, α = 88.49°, β = 86.91° and γ = 60.83°. Symmetry generates all atoms from Nd at (0.162, 0.176, 0.000), Dy at (0.223, 0.054, 0.501), Dy at (0.295, 0.500, 0.439), Tm at (0.134, 0.861, 0.232), Tm at (0.185, 0.500, 0.736), Tm at (0.496, 0.138, 0.233) and Tm at (0.500, 0.500, 0.000).


No. 12
This record from Alexandria via LeMat-Bulk describes a geometry-optimized YTlCuTe2 structure. The functional is PBE-GGA.

As for the offset from the most stable computed form: 184 kJ/mol of formula units. The total energy comes out at -0.2917 Ry per atom. The uncorrected formation energy comes out at -0.1267 eV/atom. The crystal system is tetragonal. As for the total magnetization: 0.00 μB/cell.

It has space group P4/mmm (No. 123), with a = 5.371 Å, b = 5.371 Å, c = 4.923 Å, α = 90.00°, β = 90.00° and γ = 90.00°. Symmetry generates all atoms from Y at (0.000, 0.000, 0.000), Tl at (0.500, 0.500, 0.000), Cu at (0.500, 0.500, 0.500) and Te at (0.000, 0.500, 0.500).